The following is a PBE calculation of a relaxed structure of CuTcRu2, from Alexandria.

Cell and atoms, written as POSCAR:
```
CuTcRu2
1.0
-3.657 -6.432 -4.882
-1.811 -7.914 -3.560
-4.218 -7.413 -2.417
Ru Cu Tc
2 1 1
Direct
0.999 0.999 0.999
0.250 0.250 0.250
0.750 0.750 0.750
0.501 0.501 0.501
```

Summary:
**Distance to the lowest polymorph of the same formula**: 0.25 eV/f.u.
**DFT formation energy**: 0.187 eV per atom
**Spin magnetization**: 0.00 μB/f.u.
**Space group**: R3m (160)